Record 1
Entry from Alexandria: Pm7Ho2Tm3 after structural relaxation (GGA-PBE).

Results
Magnetic moment, μB/f.u.: 0.0
Distance to the lowest polymorph of the same formula, meV/atom: 0

Structure (extended XYZ):
```
12
Lattice="6.4099 0.0000 0.0000 0.0000 3.5427 0.0000 -1.7937 0.0000 17.3634" Properties=species:S:1:pos:R:3 pbc="T T T"
Pm 0.0000 0.0000 0.0000
Pm 1.1391 1.7713 2.9864
Pm 0.7653 1.7713 8.5935
Pm 0.2728 0.0000 14.4726
Pm 4.3434 0.0000 2.8908
Pm 3.8510 1.7713 8.7699
Pm 3.4771 1.7713 14.3769
Ho -0.8209 1.7713 11.6424
Ho 5.4371 1.7713 5.7209
Tm 2.3041 0.0000 5.9250
Tm 3.2050 1.7713 0.0000
Tm 2.3122 0.0000 11.4384
```

Record 2
Entry from Alexandria: NbI after structural relaxation (GGA-PBE).

Results
Raw formation energy, meV/atom: 582
Magnetic moment, μB/f.u.: 0.0

Structure (extended XYZ):
```
2
Lattice="3.3527 0.0000 0.0000 -1.6720 2.9094 0.0000 -0.0010 -1.9317 4.4761" Properties=species:S:1:pos:R:3 pbc="T T T"
Nb 0.0000 0.0000 0.0000
I 1.6759 -0.9658 2.2381
```

Record 3
Entry from Alexandria: KZr2Cu after structural relaxation (GGA-PBE).

Results
Magnetic moment, μB/f.u.: 0.0
Distance to the lowest polymorph of the same formula, meV/atom: 514

Structure (extended XYZ):
```
4
Lattice="3.0381 -5.9500 0.0000 3.0381 5.9500 0.0000 -1.3757 0.0000 2.6493" Properties=species:S:1:pos:R:3 pbc="T T T"
K 0.0000 0.0000 0.0000
Zr 0.8312 2.9750 1.3247
Zr 0.8312 -2.9750 1.3247
Cu 3.0381 0.0000 0.0000
```

| no. | DFT total energy (eV per atom) | D(E_F) (states/eV/f.u.) |
| --- | --- | --- |
| 1 | -4.581 | 17.31 |
| 2 | -5.228 | 1.74 |
| 3 | -4.821 | 4.10 |